A plane-wave DFT calculation with PBE-GGA was carried out for a relaxed structure of CdHg2Pb5.

It has space group Cmcm (No. 63), with a = 3.595 Å, b = 11.931 Å, c = 21.614 Å, α = 90.00°, β = 90.00° and γ = 90.00°. Symmetry generates all atoms from Cd at (0.000, 0.218, 0.250), Hg at (0.000, 0.182, 0.649), Pb at (0.000, 0.080, 0.115), Pb at (0.000, 0.365, 0.024) and Pb at (0.000, 0.489, 0.250).

The calculation puts the density of states at the Fermi level at 2.64 states/eV/f.u. The total energy is -2.485 eV/atom. The calculation puts the total magnetization at 0.00 μB/cell. The calculation puts the offset from the most stable computed form at 0 meV/atom. Its formation energy is 0.0224 eV/atom.


A plane-wave DFT calculation with PBE-GGA was carried out for a relaxed structure of Cd7Hg3Pb2.

It has space group P2/m (No. 10), with a = 5.146 Å, b = 3.286 Å, c = 18.567 Å, α = 90.00°, β = 90.10° and γ = 90.00°. Symmetry generates all atoms from Cd at (0.000, 0.000, 0.000), Cd at (0.202, 0.500, 0.155), Cd at (0.259, 0.500, 0.537), Cd at (0.287, 0.000, 0.856), Hg at (0.137, 0.000, 0.371), Hg at (0.500, 0.500, 0.000) and Pb at (0.396, 0.500, 0.708).

The calculation puts the density of states at the Fermi level at 3.24 states/eV/f.u. The total energy is -1.171 eV/atom. The calculation puts the total magnetization at 0.00 μB/cell. Its formation energy is 0.0561 eV/atom.


A plane-wave DFT calculation with PBE-GGA was carried out for a relaxed structure of Cd3Hg5Pb2.

It has space group C2/c (No. 15), with a = 10.421 Å, b = 23.434 Å, c = 4.847 Å, α = 90.00°, β = 113.61° and γ = 90.00°. Symmetry generates all atoms from Cd at (0.000, 0.043, 0.250), Cd at (0.115, 0.349, 0.610), Hg at (0.000, 0.455, 0.250), Hg at (0.138, 0.145, 0.621), Hg at (0.247, 0.046, 0.048) and Pb at (0.122, 0.246, 0.113).

The calculation puts the density of states at the Fermi level at 3.46 states/eV/f.u. The total energy is -1.126 eV/atom. The calculation puts the total magnetization at 0.00 μB/cell. Its formation energy is 0.0413 eV/atom.


A plane-wave DFT calculation with PBE-GGA was carried out for a relaxed structure of Cd3Hg12Pb.

It has space group P4/mmm (No. 123), with a = 5.613 Å, b = 5.613 Å, c = 13.296 Å, α = 90.00°, β = 90.00° and γ = 90.00°. Symmetry generates all atoms from Cd at (0.000, 0.000, 0.000), Cd at (0.000, 0.000, 0.240), Hg at (0.000, 0.500, 0.122), Hg at (0.000, 0.500, 0.367), Hg at (0.500, 0.500, 0.000), Hg at (0.500, 0.500, 0.250), Hg at (0.500, 0.500, 0.500) and Pb at (0.000, 0.000, 0.500).

The calculation puts the density of states at the Fermi level at 6.16 states/eV/f.u. The total energy is -0.596 eV/atom. The calculation puts the total magnetization at 0.00 μB/cell. Its formation energy is 0.0335 eV/atom.


A plane-wave DFT calculation with PBE-GGA was carried out for a relaxed structure of Cd3Hg3Pb5.

It has space group P-62m (No. 189), with a = 10.5758 Å, b = 10.5758 Å, c = 3.3172 Å, α = 90.00°, β = 90.00° and γ = 120.00°. Symmetry generates all atoms from Cd at (0.0000, 0.6054, 0.0000), Hg at (0.0000, 0.8357, 0.5000), Pb at (0.0000, 0.3515, 0.5000) and Pb at (0.3333, 0.6667, 0.5000).

The calculation puts the density of states at the Fermi level at 4.77 states/eV/f.u. The total energy is -1.916 eV/atom. The calculation puts the total magnetization at 0.00 μB/cell. Its formation energy is 0.1020 eV/atom.


A plane-wave DFT calculation with PBE-GGA was carried out for a relaxed structure of Cd12Hg3Pb5.

It has space group Ia-3d (No. 230), with a = 17.222 Å, b = 17.222 Å, c = 17.222 Å, α = 90.00°, β = 90.00° and γ = 90.00°. Symmetry generates all atoms from Cd at (0.011, 0.083, 0.654), Hg at (0.000, 0.250, 0.125), Pb at (0.000, 0.000, 0.000) and Pb at (0.000, 0.250, 0.375).

The calculation puts the density of states at the Fermi level at 10.31 states/eV/f.u. The total energy is -1.317 eV/atom. The calculation puts the total magnetization at 0.00 μB/cell. Its formation energy is 0.2042 eV/atom.


A plane-wave DFT calculation with PBE-GGA was carried out for a relaxed structure of Cd5Hg5Pb2.

It has space group P-1 (No. 2), with a = 4.992 Å, b = 7.887 Å, c = 8.849 Å, α = 72.82°, β = 87.20° and γ = 72.24°. Symmetry generates all atoms from Cd at (0.000, 0.000, 0.000), Cd at (0.084, 0.861, 0.358), Cd at (0.193, 0.574, 0.170), Hg at (0.306, 0.378, 0.579), Hg at (0.381, 0.227, 0.026), Hg at (0.500, 0.000, 0.500) and Pb at (0.191, 0.704, 0.749).

The calculation puts the density of states at the Fermi level at 3.57 states/eV/f.u. The total energy is -1.081 eV/atom. The calculation puts the total magnetization at 0.00 μB/cell. Its formation energy is 0.0443 eV/atom.


A plane-wave DFT calculation with PBE-GGA was carried out for a relaxed structure of CdHgPb2.

It has space group Pmm2 (No. 25), with a = 3.545 Å, b = 4.310 Å, c = 7.269 Å, α = 90.00°, β = 90.00° and γ = 90.00°. Symmetry generates all atoms from Cd at (0.000, 0.000, 0.000), Hg at (0.500, 0.500, 0.208), Pb at (0.000, 0.000, 0.462) and Pb at (0.500, 0.500, 0.747).

The calculation puts the density of states at the Fermi level at 1.32 states/eV/f.u. The total energy is -2.131 eV/atom. The calculation puts the total magnetization at 0.00 μB/cell. The calculation puts the offset from the most stable computed form at 5 meV/atom. Its formation energy is 0.0277 eV/atom.


A plane-wave DFT calculation with PBE-GGA was carried out for a relaxed structure of Cd5Hg8Pb.

It has space group I-4 (No. 82), with a = 8.992 Å, b = 8.992 Å, c = 8.952 Å, α = 90.00°, β = 90.00° and γ = 90.00°. Symmetry generates all atoms from Cd at (0.000, 0.000, 0.000), Cd at (0.134, 0.250, 0.383), Hg at (0.080, 0.159, 0.705), Hg at (0.081, 0.329, 0.057) and Pb at (0.000, 0.500, 0.750).

The calculation puts the density of states at the Fermi level at 3.55 states/eV/f.u. The total energy is -0.730 eV/atom. The calculation puts the total magnetization at 0.00 μB/cell. Its formation energy is 0.0343 eV/atom.


A plane-wave DFT calculation with PBE-GGA was carried out for a relaxed structure of Cd9Hg2Pb.

It has space group P6/mmm (No. 191), with a = 10.2552 Å, b = 10.2552 Å, c = 3.1977 Å, α = 90.00°, β = 90.00° and γ = 120.00°. Symmetry generates all atoms from Cd at (0.0000, 0.5000, 0.0000), Cd at (0.1754, 0.3509, 0.5000), Hg at (0.3333, 0.6667, 0.0000) and Pb at (0.0000, 0.0000, 0.0000).

The calculation puts the density of states at the Fermi level at 4.46 states/eV/f.u. The total energy is -0.999 eV/atom. The calculation puts the total magnetization at 0.00 μB/cell. The calculation puts the offset from the most stable computed form at 10 meV/atom. Its formation energy is 0.0462 eV/atom.


A plane-wave DFT calculation with PBE-GGA was carried out for a relaxed structure of Cd2Hg7Pb2.

It has space group Imm2 (No. 44), with a = 3.470 Å, b = 17.855 Å, c = 9.880 Å, α = 90.00°, β = 90.00° and γ = 90.00°. Symmetry generates all atoms from Cd at (0.000, 0.211, 0.000), Hg at (0.000, 0.000, 0.961), Hg at (0.000, 0.152, 0.504), Hg at (0.000, 0.339, 0.732), Hg at (0.000, 0.361, 0.289), Pb at (0.000, 0.000, 0.292) and Pb at (0.000, 0.500, 0.088).

The calculation puts the density of states at the Fermi level at 3.55 states/eV/f.u. The total energy is -0.991 eV/atom. The calculation puts the total magnetization at 0.00 μB/cell. The calculation puts the offset from the most stable computed form at 0 meV/atom. Its formation energy is 0.0414 eV/atom.


A plane-wave DFT calculation with PBE-GGA was carried out for a relaxed structure of CdHg4Pb4.

It has space group I4/m (No. 87), with a = 12.192 Å, b = 12.192 Å, c = 3.431 Å, α = 90.00°, β = 90.00° and γ = 90.00°. Symmetry generates all atoms from Cd at (0.000, 0.000, 0.000), Hg at (0.161, 0.834, 0.500) and Pb at (0.005, 0.324, 0.000).

The calculation puts the density of states at the Fermi level at 2.61 states/eV/f.u. The total energy is -1.845 eV/atom. The calculation puts the total magnetization at 0.00 μB/cell. Its formation energy is 0.0391 eV/atom.